[1]
Below is an optimized crystal structure of Zr2ZnCdHg, with properties calculated at the PBE-GGA level.

Cell: 5.3044 5.3044 4.7111 Å, 90.00 90.00 90.00°
Atoms (fractional coordinates):
Zr 0.0000 0.5000 0.0000
Zr 0.5000 0.0000 0.0000
Zn 0.0000 0.0000 0.5000
Cd 0.0000 0.0000 0.0000
Hg 0.5000 0.5000 0.5000

---

[2]
Below is an optimized crystal structure of ZrCdHg, with properties calculated at the PBE-GGA level.

Cell: 8.1703 8.1703 5.1969 Å, 90.00 90.00 157.76°
Atoms (fractional coordinates):
Zr 0.0599 0.9401 0.7500
Zr 0.9401 0.0599 0.2500
Cd 0.2729 0.7271 0.2500
Cd 0.7271 0.2729 0.7500
Hg 0.3954 0.6046 0.7500
Hg 0.6046 0.3954 0.2500

---

[3]
Below is an optimized crystal structure of Zr6CdHg, with properties calculated at the PBE-GGA level.

Cell: 5.6159 5.6159 5.6159 Å, 90.00 90.00 90.00°
Atoms (fractional coordinates):
Zr 0.0000 0.2504 0.5000
Zr 0.0000 0.7496 0.5000
Zr 0.2504 0.5000 0.0000
Zr 0.5000 0.0000 0.2504
Zr 0.5000 0.0000 0.7496
Zr 0.7496 0.5000 0.0000
Cd 0.0000 0.0000 0.0000
Hg 0.5000 0.5000 0.5000

Distance to the lowest polymorph of the same formula   0.000 eV/f.u.

---

[4]
Below is an optimized crystal structure of Zr4Cd5Hg2, with properties calculated at the PBE-GGA level.

Cell: 7.7538 3.0401 10.2120 Å, 90.00 94.37 90.00°
Atoms (fractional coordinates):
Zr 0.1471 0.0000 0.3938
Zr 0.2938 0.0000 0.9486
Zr 0.7062 0.0000 0.0514
Zr 0.8529 0.0000 0.6062
Cd 0.2054 0.5000 0.6661
Cd 0.4327 0.5000 0.2096
Cd 0.5000 0.5000 0.5000
Cd 0.5673 0.5000 0.7904
Cd 0.7946 0.5000 0.3339
Hg 0.0558 0.5000 0.1388
Hg 0.9442 0.5000 0.8612

---

[5]
Below is an optimized crystal structure of Zr4Cd2Hg, with properties calculated at the PBE-GGA level.

Cell: 5.7588 5.7588 5.5673 Å, 90.23 90.23 119.60°
Atoms (fractional coordinates):
Zr 0.0000 0.5000 0.5000
Zr 0.1876 0.8124 0.0000
Zr 0.5000 0.0000 0.5000
Zr 0.8124 0.1876 0.0000
Cd 0.4951 0.4951 0.2412
Cd 0.5049 0.5049 0.7588
Hg 0.0000 0.0000 0.5000

Distance to the lowest polymorph of the same formula   0.000 eV/f.u.

---

[6]
Below is an optimized crystal structure of ZrCdHg4, with properties calculated at the PBE-GGA level.

Cell: 3.7657 3.7657 9.7636 Å, 90.25 90.25 89.96°
Atoms (fractional coordinates):
Zr 0.0000 0.0000 0.0000
Cd 0.5000 0.5000 0.5000
Hg 0.0022 0.0022 0.3303
Hg 0.4981 0.4981 0.8374
Hg 0.5019 0.5019 0.1626
Hg 0.9978 0.9978 0.6697

Distance to the lowest polymorph of the same formula   0.000 eV/f.u.

---

[7]
Below is an optimized crystal structure of Zr4CdHg5, with properties calculated at the PBE-GGA level.

Cell: 3.2202 3.2202 20.9403 Å, 90.00 90.00 90.00°
Atoms (fractional coordinates):
Zr 0.0000 0.0000 0.0998
Zr 0.0000 0.0000 0.2997
Zr 0.0000 0.0000 0.7003
Zr 0.0000 0.0000 0.9002
Cd 0.0000 0.0000 0.5000
Hg 0.5000 0.5000 0.0000
Hg 0.5000 0.5000 0.2002
Hg 0.5000 0.5000 0.3990
Hg 0.5000 0.5000 0.6010
Hg 0.5000 0.5000 0.7998

---

[8]
Below is an optimized crystal structure of Zr6CdHg, with properties calculated at the PBE-GGA level.

Cell: 4.4540 4.4540 8.9143 Å, 90.00 90.00 90.00°
Atoms (fractional coordinates):
Zr 0.0000 0.0000 0.0000
Zr 0.0000 0.0000 0.5000
Zr 0.0000 0.5000 0.2503
Zr 0.0000 0.5000 0.7497
Zr 0.5000 0.0000 0.2503
Zr 0.5000 0.0000 0.7497
Cd 0.5000 0.5000 0.0000
Hg 0.5000 0.5000 0.5000

Distance to the lowest polymorph of the same formula   0.206 eV/f.u.

---

[9]
Below is an optimized crystal structure of Zr3CdHg6, with properties calculated at the PBE-GGA level.

Cell: 9.5168 4.4954 10.3138 Å, 90.00 94.35 90.00°
Atoms (fractional coordinates):
Zr 0.0476 0.2500 0.4027
Zr 0.1473 0.7500 0.2048
Zr 0.2518 0.2500 0.0070
Zr 0.7482 0.7500 0.9930
Zr 0.8527 0.2500 0.7952
Zr 0.9524 0.7500 0.5973
Cd 0.4470 0.2500 0.5978
Cd 0.5530 0.7500 0.4022
Hg 0.0486 0.7500 0.9042
Hg 0.1483 0.2500 0.7011
Hg 0.2479 0.7500 0.4963
Hg 0.3452 0.2500 0.3020
Hg 0.3461 0.7500 0.8056
Hg 0.4484 0.7500 0.1068
Hg 0.5516 0.2500 0.8932
Hg 0.6539 0.2500 0.1944
Hg 0.6548 0.7500 0.6980
Hg 0.7521 0.2500 0.5037
Hg 0.8517 0.7500 0.2989
Hg 0.9514 0.2500 0.0958

---

[10]
Below is an optimized crystal structure of ZrCdHg3, with properties calculated at the PBE-GGA level.

Cell: 3.4656 6.5531 10.5205 Å, 98.67 90.25 105.10°
Atoms (fractional coordinates):
Zr 0.1478 0.2962 0.4474
Zr 0.8522 0.7038 0.5526
Cd 0.3450 0.6873 0.0497
Cd 0.6550 0.3127 0.9503
Hg 0.0425 0.0836 0.1489
Hg 0.2582 0.5101 0.7454
Hg 0.4439 0.8905 0.3533
Hg 0.5561 0.1095 0.6467
Hg 0.7418 0.4899 0.2546
Hg 0.9575 0.9164 0.8511

Distance to the lowest polymorph of the same formula   0.000 eV/f.u.

---

[11]
Below is an optimized crystal structure of Zr2Cd3Hg4, with properties calculated at the PBE-GGA level.

Cell: 9.2379 9.2379 7.9568 Å, 90.00 90.00 142.43°
Atoms (fractional coordinates):
Zr 0.0799 0.9201 0.8886
Zr 0.4201 0.5799 0.3886
Zr 0.5799 0.4201 0.6114
Zr 0.9201 0.0799 0.1114
Cd 0.0000 0.0000 0.5000
Cd 0.0133 0.4867 0.7500
Cd 0.4867 0.0133 0.2500
Cd 0.5000 0.5000 0.0000
Cd 0.5133 0.9867 0.7500
Cd 0.9867 0.5133 0.2500
Hg 0.1602 0.8398 0.5445
Hg 0.1785 0.3215 0.7500
Hg 0.3215 0.1785 0.2500
Hg 0.3398 0.6602 0.0445
Hg 0.6602 0.3398 0.9555
Hg 0.6785 0.8215 0.7500
Hg 0.8215 0.6785 0.2500
Hg 0.8398 0.1602 0.4555

Distance to the lowest polymorph of the same formula   0.312 eV/f.u.

---

[12]
Below is an optimized crystal structure of Zr5Cd4Hg4, with properties calculated at the PBE-GGA level.

Cell: 8.5104 8.5104 8.5104 Å, 93.69 93.69 150.59°
Atoms (fractional coordinates):
Zr 0.0000 0.0000 0.0000
Zr 0.3078 0.6117 0.9196
Zr 0.3883 0.3078 0.6961
Zr 0.6117 0.6922 0.3039
Zr 0.6922 0.3883 0.0804
Cd 0.1039 0.4052 0.5092
Cd 0.4052 0.8961 0.3013
Cd 0.5948 0.1039 0.6987
Cd 0.8961 0.5948 0.4908
Hg 0.0794 0.7628 0.8422
Hg 0.2372 0.0794 0.3166
Hg 0.7628 0.9206 0.6834
Hg 0.9206 0.2372 0.1578

---

[13]
Below is an optimized crystal structure of ZrCdHg4, with properties calculated at the PBE-GGA level.

Cell: 5.8587 5.8587 5.8587 Å, 60.00 60.00 60.00°
Atoms (fractional coordinates):
Zr 0.0000 0.0000 0.0000
Cd 0.7500 0.7500 0.7500
Hg 0.3746 0.3746 0.3746
Hg 0.3746 0.3746 0.8763
Hg 0.3746 0.8763 0.3746
Hg 0.8763 0.3746 0.3746

Distance to the lowest polymorph of the same formula   1.689 eV/f.u.

---

[14]
Below is an optimized crystal structure of ZrCd3Hg, with properties calculated at the PBE-GGA level.

Cell: 5.2168 5.2168 5.2168 Å, 90.00 90.00 90.00°
Atoms (fractional coordinates):
Zr 0.0000 0.0000 0.0000
Cd 0.0000 0.5000 0.5000
Cd 0.5000 0.0000 0.5000
Cd 0.5000 0.5000 0.0000
Hg 0.5000 0.5000 0.5000

Distance to the lowest polymorph of the same formula   3.947 eV/f.u.

---

[15]
Below is an optimized crystal structure of ZrCd12Hg6, with properties calculated at the PBE-GGA level.

Cell: 7.7268 7.7268 7.7268 Å, 87.16 87.16 87.16°
Atoms (fractional coordinates):
Zr 0.0000 0.0000 0.0000
Cd 0.0194 0.7260 0.7258
Cd 0.2119 0.4899 0.5051
Cd 0.2740 0.2742 0.9806
Cd 0.2742 0.9806 0.2740
Cd 0.4899 0.5051 0.2119
Cd 0.4949 0.7881 0.5101
Cd 0.5051 0.2119 0.4899
Cd 0.5101 0.4949 0.7881
Cd 0.7258 0.0194 0.7260
Cd 0.7260 0.7258 0.0194
Cd 0.7881 0.5101 0.4949
Cd 0.9806 0.2740 0.2742
Hg 0.1116 0.6328 0.1365
Hg 0.1365 0.1116 0.6328
Hg 0.3671 0.8635 0.8884
Hg 0.6328 0.1365 0.1116
Hg 0.8635 0.8884 0.3671
Hg 0.8884 0.3671 0.8635

---

[16]
Below is an optimized crystal structure of ZrCdHg, with properties calculated at the PBE-GGA level.

Cell: 4.7919 4.7919 4.7919 Å, 60.00 60.00 60.00°
Atoms (fractional coordinates):
Zr 0.0000 0.0000 0.0000
Cd 0.7500 0.7500 0.7500
Hg 0.2500 0.2500 0.2500

---

[17]
Below is an optimized crystal structure of Zr6CdHg2, with properties calculated at the PBE-GGA level.

Cell: 9.0700 9.0700 9.0700 Å, 160.96 122.96 60.70°
Atoms (fractional coordinates):
Zr 0.1444 0.8294 0.3150
Zr 0.1778 0.0000 0.1778
Zr 0.4856 0.1706 0.3150
Zr 0.5144 0.8294 0.6850
Zr 0.8222 0.0000 0.8222
Zr 0.8556 0.1706 0.6850
Cd 0.5000 0.5000 0.0000
Hg 0.1521 0.6521 0.5000
Hg 0.8479 0.3479 0.5000

---

[18]
Below is an optimized crystal structure of Zr3Cd4Hg, with properties calculated at the PBE-GGA level.

Cell: 9.1749 9.1749 4.5225 Å, 104.20 104.20 27.92°
Atoms (fractional coordinates):
Zr 0.0000 0.0000 0.0000
Zr 0.1254 0.1254 0.6257
Zr 0.8746 0.8746 0.3743
Cd 0.2473 0.2473 0.2473
Cd 0.3699 0.3699 0.8696
Cd 0.6301 0.6301 0.1304
Cd 0.7527 0.7527 0.7527
Hg 0.5000 0.5000 0.5000

---

[19]
Below is an optimized crystal structure of ZrCd2Hg2, with properties calculated at the PBE-GGA level.

Cell: 8.1390 8.1390 3.4274 Å, 90.00 90.00 90.00°
Atoms (fractional coordinates):
Zr 0.0000 0.0000 0.0000
Zr 0.5000 0.5000 0.0000
Cd 0.1696 0.3304 0.5000
Cd 0.3304 0.8304 0.5000
Cd 0.6696 0.1696 0.5000
Cd 0.8304 0.6696 0.5000
Hg 0.1325 0.6325 0.0000
Hg 0.3675 0.1325 0.0000
Hg 0.6325 0.8675 0.0000
Hg 0.8675 0.3675 0.0000

Distance to the lowest polymorph of the same formula   0.746 eV/f.u.

---

[20]
Below is an optimized crystal structure of Zr5Cd6Hg2, with properties calculated at the PBE-GGA level.

Cell: 8.0501 8.0501 8.0501 Å, 63.95 63.95 63.95°
Atoms (fractional coordinates):
Zr 0.0000 0.0000 0.0000
Zr 0.2903 0.2903 0.2903
Zr 0.4311 0.4311 0.4311
Zr 0.5689 0.5689 0.5689
Zr 0.7097 0.7097 0.7097
Cd 0.1689 0.5000 0.8311
Cd 0.1689 0.8311 0.5000
Cd 0.5000 0.1689 0.8311
Cd 0.5000 0.8311 0.1689
Cd 0.8311 0.1689 0.5000
Cd 0.8311 0.5000 0.1689
Hg 0.1423 0.1423 0.1423
Hg 0.8577 0.8577 0.8577

---

[21]
Below is an optimized crystal structure of Zr3CdHg3, with properties calculated at the PBE-GGA level.

Cell: 8.4696 8.4696 5.0446 Å, 90.00 90.00 120.00°
Atoms (fractional coordinates):
Zr 0.1055 0.4636 0.2500
Zr 0.3581 0.8945 0.2500
Zr 0.4636 0.3581 0.7500
Zr 0.5364 0.6419 0.2500
Zr 0.6419 0.1055 0.7500
Zr 0.8945 0.5364 0.7500
Cd 0.3333 0.6667 0.7500
Cd 0.6667 0.3333 0.2500
Hg 0.0453 0.2498 0.7500
Hg 0.2044 0.9547 0.7500
Hg 0.2498 0.2044 0.2500
Hg 0.7502 0.7956 0.7500
Hg 0.7956 0.0453 0.2500
Hg 0.9547 0.7502 0.2500

Distance to the lowest polymorph of the same formula   0.204 eV/f.u.

---

[22]
Below is an optimized crystal structure of ZrCdHg, with properties calculated at the PBE-GGA level.

Cell: 4.9638 4.9638 6.0874 Å, 90.00 90.00 119.88°
Atoms (fractional coordinates):
Zr 0.1665 0.8335 0.7500
Zr 0.8335 0.1665 0.2500
Cd 0.5000 0.5000 0.0000
Cd 0.5000 0.5000 0.5000
Hg 0.1670 0.8330 0.2500
Hg 0.8330 0.1670 0.7500

---

Results for DOS at the Fermi energy: 5.8, 5.0, 9.1, 8.4, 8.1, 3.3, 11.8, 9.7, 12.2, 5.9, 11.3, 15.3, 4.7, 3.2, 9.3, 3.1, 13.7, 7.2, 6.5, 13.4, 17.4, 2.5 (in states/eV/cell, following the order of the records).
Results for ΔE_f: 0.84, -0.05, -0.13, -0.08, 0.07, 0.04, -0.13, -0.10, -0.06, -0.01, 0.09, -0.01, 0.32, 0.75, 0.01, 0.31, 0.16, -0.08, 0.10, 0.88, -0.03, -0.10 (in eV per atom, following the order of the records).
Results for calculated volume: 26.51, 21.88, 22.14, 21.82, 22.93, 23.07, 21.71, 22.11, 22.00, 22.78, 23.00, 22.52, 23.70, 28.40, 24.19, 25.94, 22.60, 21.56, 22.70, 30.84, 22.38, 21.68 (in Å³ per atom, following the order of the records).